[1]
# PBE Sr2PrCd2, optimized geometry
data_Sr2PrCd2
_chemical_formula_sum 'Sr4 Pr2 Cd4'
_space_group_name_H-M_alt 'C m m m'
_space_group_IT_number 65
_space_group_name_Hall '-C 2 2'
_cell_length_a 4.008
_cell_length_b 23.182
_cell_length_c 3.915
_cell_angle_alpha 90.00
_cell_angle_beta 90.00
_cell_angle_gamma 90.00
loop_
_atom_site_label
_atom_site_fract_x
_atom_site_fract_y
_atom_site_fract_z
Sr1 0.000 0.170 0.000
Pr1 0.000 0.000 0.000
Cd1 0.000 0.420 0.500
# **Formation energy from the elements**: -0.224 eV per atom
# **Final energy**: -2.218 eV/atom

[2]
# PBE ZnSb, optimized geometry
data_ZnSb
_chemical_formula_sum 'Zn2 Sb2'
_space_group_name_H-M_alt 'P 63 m c'
_space_group_IT_number 186
_space_group_name_Hall 'P 6c -2c'
_cell_length_a 3.9873
_cell_length_b 3.9873
_cell_length_c 7.9738
_cell_angle_alpha 90.00
_cell_angle_beta 90.00
_cell_angle_gamma 120.00
loop_
_atom_site_label
_atom_site_fract_x
_atom_site_fract_y
_atom_site_fract_z
Zn1 0.3333 0.6667 0.0000
Sb1 0.3333 0.6667 0.3275
# **Final energy**: -2.581 eV/atom
# **Formation energy (no corrections)**: 0.117 eV per atom